LiMg3O | PBE | relaxed

Values from the calculation:
electronic total energy: -0.065 hartree per atom
space group: No. 221

a b c (Å): 4.7760 4.7760 4.7760
angles (deg): 90.00 90.00 90.00
Last column: nearest neighbours and their distance in Å.
Positions (direct):
Mg 0.0000 0.5000 0.0000  2 Li 2.39
Mg 0.0000 0.0000 0.5000  2 Li 2.39
Mg 0.5000 0.0000 0.0000  2 Li 2.39
O 0.5000 0.5000 0.5000  12 Mg 3.38
Li 0.0000 0.0000 0.0000  6 Mg 2.39

=====

LiZnPSe2 | PBE | relaxed

Values from the calculation:
electronic total energy: -0.115 hartree per atom
space group: No. 123

a b c (Å): 5.0786 4.4902 5.0786
angles (deg): 90.00 90.00 90.00
Last column: nearest neighbours and their distance in Å.
Positions (direct):
P 0.0000 0.0000 0.0000  2 Zn 2.25
Zn 0.0000 0.5000 0.0000  2 P 2.25
Se 0.0000 0.0000 0.5000  2 P 2.54
Se 0.5000 0.0000 0.0000  2 P 2.54
Li 0.5000 0.5000 0.5000  8 Se 3.39, 4 Zn 3.59

=====

YIn3F | PBE | relaxed

Values from the calculation:
electronic total energy: -0.110 hartree per atom
space group: No. 221

a b c (Å): 6.0946 6.0946 6.0946
angles (deg): 90.00 90.00 90.00
Last column: nearest neighbours and their distance in Å.
Positions (direct):
Y 0.0000 0.0000 0.0000  6 In 3.05
F 0.5000 0.5000 0.5000  12 In 4.31
In 0.0000 0.5000 0.0000  2 Y 3.05
In 0.0000 0.0000 0.5000  2 Y 3.05
In 0.5000 0.0000 0.0000  2 Y 3.05

=====

Cu2Ag2PtAu4 | PBE | relaxed

Values from the calculation:
space group: No. 156
DFT formation energy: 0.19 eV per formula unit

a b c (Å): 2.8478 2.8478 21.6081
angles (deg): 90.00 90.00 120.00
Last column: nearest neighbours and their distance in Å.
Positions (direct):
Cu 0.6667 0.3333 0.4227  3 Pt 2.66, 3 Au 2.74, 6 Cu 2.85
Cu 0.6667 0.3333 0.2290  1 Au 2.58, 3 Pt 2.66, 6 Cu 2.85
Ag 0.0000 0.0000 0.9925  6 Ag 2.85, 6 Au 2.99-3.02
Ag 0.6667 0.3333 0.6406  6 Ag 2.85, 6 Au 2.99-3.00
Pt 0.0000 0.0000 0.3257  6 Cu 2.66, 6 Pt 2.85
Au 0.0000 0.0000 0.5243  3 Cu 2.74, 6 Au 2.85, 3 Ag 3.00
Au 0.6667 0.3333 0.1095  1 Cu 2.58, 6 Au 2.85
Au 0.6667 0.3333 0.8768  9 Au 2.85-3.08, 3 Ag 2.99
Au 0.0000 0.0000 0.7561  9 Au 2.85-3.08, 3 Ag 2.99

=====

Sn3MoOs | PBE | relaxed

Values from the calculation:
space group: No. 221
DFT formation energy: 7.03 eV per formula unit

a b c (Å): 5.1798 5.1798 5.1798
angles (deg): 90.00 90.00 90.00
Last column: nearest neighbours and their distance in Å.
Positions (direct):
Mo 0.0000 0.0000 0.0000  6 Sn 2.59
Os 0.5000 0.5000 0.5000  12 Sn 3.66
Sn 0.0000 0.5000 0.0000  2 Mo 2.59
Sn 0.0000 0.0000 0.5000  2 Mo 2.59
Sn 0.5000 0.0000 0.0000  2 Mo 2.59

=====

GeW | PBE | relaxed

Values from the calculation:
space group: No. 87
DFT formation energy: 1.61 eV per formula unit

a b c (Å): 9.8995 9.8995 3.3507
angles (deg): 90.00 90.00 90.00
Last column: nearest neighbours and their distance in Å.
Positions (direct):
Ge 0.4501 0.6846 0.0000  4 W 2.55-2.60, 2 Ge 2.68
Ge 0.5499 0.3154 0.0000  4 W 2.55-2.60, 2 Ge 2.68
Ge 0.3154 0.4501 0.0000  4 W 2.55-2.60, 2 Ge 2.68
Ge 0.6846 0.5499 0.0000  4 W 2.55-2.60, 2 Ge 2.68
Ge 0.9501 0.1846 0.5000  4 W 2.55-2.60, 2 Ge 2.68
Ge 0.0499 0.8154 0.5000  4 W 2.55-2.60, 2 Ge 2.68
Ge 0.8154 0.9501 0.5000  4 W 2.55-2.60, 2 Ge 2.68
Ge 0.1846 0.0499 0.5000  4 W 2.55-2.60, 2 Ge 2.68
W 0.3266 0.1875 0.0000  4 Ge 2.55-2.60, 2 W 2.58
W 0.6734 0.8125 0.0000  4 Ge 2.55-2.60, 2 W 2.58
W 0.8125 0.3266 0.0000  4 Ge 2.55-2.60, 2 W 2.58
W 0.1875 0.6734 0.0000  4 Ge 2.55-2.60, 2 W 2.58
W 0.8266 0.6875 0.5000  4 Ge 2.55-2.60, 2 W 2.58
W 0.1734 0.3125 0.5000  4 Ge 2.55-2.60, 2 W 2.58
W 0.3125 0.8266 0.5000  4 Ge 2.55-2.60, 2 W 2.58
W 0.6875 0.1734 0.5000  4 Ge 2.55-2.60, 2 W 2.58

=====

InW2Br | PBE | relaxed

Values from the calculation:
electronic total energy: -0.235 hartree per atom
space group: No. 123

a b c (Å): 3.5498 3.5511 6.8628
angles (deg): 90.00 90.00 90.00
Last column: nearest neighbours and their distance in Å.
Positions (direct):
Br 0.5000 0.5000 0.2500  8 W 3.35, 2 In 3.43, 4 Br 3.55
W 0.0000 0.0000 0.9262  1 W 2.42
W 0.0000 0.0000 0.5738  1 W 2.42
In 0.5000 0.5000 0.7500  8 W 2.79

=====

Mn2CoMoH | PBE | relaxed

Values from the calculation:
electronic total energy: -0.289 hartree per atom
space group: No. 123

a b c (Å): 3.6417 3.6417 3.8232
angles (deg): 90.00 90.00 90.00
Last column: nearest neighbours and their distance in Å.
Positions (direct):
H 0.0000 0.0000 0.0000  4 Mn 1.82, 2 Mo 1.91
Mo 0.0000 0.0000 0.5000  2 H 1.91
Mn 0.0000 0.5000 0.0000  2 H 1.82
Mn 0.5000 0.0000 0.0000  2 H 1.82
Co 0.5000 0.5000 0.5000  4 Mo 2.58, 8 Mn 2.64

=====

Ba6Cd5 | PBE | relaxed

Values from the calculation:
space group: No. 71
DFT formation energy: -3.02 eV per formula unit

a b c (Å): 6.0363 8.4780 10.4166
angles (deg): 114.01 106.84 90.00
Last column: nearest neighbours and their distance in Å.
Positions (direct):
Ba 0.5000 0.7466 0.0000  6 Cd 3.66-3.76
Ba 0.5000 0.2534 0.0000  6 Cd 3.66-3.76
Ba 0.8335 0.0849 0.6671  7 Cd 3.61-3.70
Ba 0.8336 0.5822 0.6671  7 Cd 3.61-3.70
Ba 0.1665 0.9151 0.3329  7 Cd 3.61-3.70
Ba 0.1664 0.4178 0.3329  7 Cd 3.61-3.70
Cd 0.0000 0.5000 0.0000  8 Ba 3.67
Cd 0.6665 0.6665 0.3329  8 Ba 3.66-3.69
Cd 0.3335 0.3335 0.6671  8 Ba 3.66-3.69
Cd 0.3291 0.8291 0.6583  8 Ba 3.61-3.76
Cd 0.6709 0.1709 0.3417  8 Ba 3.61-3.76

=====

CeSmHg3 | PBE | relaxed

Values from the calculation:
space group: No. 194
DFT formation energy: -0.53 eV per formula unit

a b c (Å): 6.0876 7.4879 7.4879
angles (deg): 120.00 90.00 90.00
Last column: nearest neighbours and their distance in Å.
Positions (direct):
Ce 0.0000 0.0000 0.0000  2 Ce 3.04, 6 Hg 3.06
Ce 0.5000 0.0000 0.0000  2 Ce 3.04, 6 Hg 3.06
Sm 0.2500 0.3335 0.6665  12 Hg 3.47-3.78
Sm 0.7500 0.6665 0.3335  12 Hg 3.47-3.78
Hg 0.2500 0.7952 0.2048  2 Hg 2.89, 2 Ce 3.06
Hg 0.7500 0.2048 0.7952  2 Hg 2.89, 2 Ce 3.06
Hg 0.2500 0.7951 0.5905  2 Hg 2.89, 2 Ce 3.06
Hg 0.7500 0.2049 0.4095  2 Hg 2.89, 2 Ce 3.06
Hg 0.2500 0.4095 0.2049  2 Hg 2.89, 2 Ce 3.06
Hg 0.7500 0.5905 0.7951  2 Hg 2.89, 2 Ce 3.06

=====

HoPu4Te5 | PBE | relaxed

Values from the calculation:
electronic total energy: -0.326 hartree per atom
space group: No. 139

a b c (Å): 4.4091 4.4091 15.9316
angles (deg): 97.95 97.95 90.00
Last column: nearest neighbours and their distance in Å.
Positions (direct):
Ho 0.0000 0.0000 0.0000  6 Te 3.07-3.12
Pu 0.4007 0.4007 0.8014  6 Te 3.10-3.16
Pu 0.8005 0.8005 0.6009  6 Te 3.12-3.17
Pu 0.1995 0.1995 0.3991  6 Te 3.12-3.17
Pu 0.5993 0.5993 0.1986  6 Te 3.10-3.16
Te 0.0981 0.0981 0.1962  1 Ho 3.07, 5 Pu 3.12-3.17
Te 0.5000 0.5000 0.0000  2 Pu 3.10, 4 Ho 3.12
Te 0.9019 0.9019 0.8038  1 Ho 3.07, 5 Pu 3.12-3.17
Te 0.2996 0.2996 0.5993  6 Pu 3.12-3.16
Te 0.7004 0.7004 0.4007  6 Pu 3.12-3.16

=====

KSiHSe3 | PBE | relaxed

Values from the calculation:
electronic total energy: -0.146 hartree per atom
space group: No. 12

a b c (Å): 7.8091 7.8091 6.8524
angles (deg): 70.53 70.53 57.64
Last column: nearest neighbours and their distance in Å.
Positions (direct):
K 0.6675 0.6675 0.7777  7 Se 3.53-3.82, 1 Si 3.95
K 0.3325 0.3325 0.2223  7 Se 3.53-3.82, 1 Si 3.95
Si 0.9390 0.9390 0.8553  4 Se 2.26-2.34
Si 0.0610 0.0610 0.1447  4 Se 2.26-2.34
H 0.2507 0.7493 0.5000  2 Se 1.79
H 0.7493 0.2507 0.5000  2 Se 1.79
Se 0.1211 0.1211 0.7774  2 Si 2.33-2.34
Se 0.1449 0.6334 0.7459  1 H 1.79
Se 0.6334 0.1449 0.7459  1 H 1.79
Se 0.3666 0.8551 0.2541  1 H 1.79
Se 0.8551 0.3666 0.2541  1 H 1.79
Se 0.8789 0.8789 0.2226  2 Si 2.33-2.34